Record 1
Below is a relaxed KSmPbS3 crystal, with properties calculated at the PBE level.

Summary:
- Calculated total energy: -4.902 eV/atom
- SG: Cmcm

a = 8.6775 Å, b = 8.6775 Å, c = 11.6042 Å
α = 90.00°, β = 90.00°, γ = 152.52°
Fractional coordinates of all 12 atoms:
K  0.1531  0.8469  0.7500
K  0.8469  0.1531  0.2500
Sm  0.5000  0.5000  0.0000
Sm  0.5000  0.5000  0.5000
Pb  0.1174  0.8826  0.2500
Pb  0.8826  0.1174  0.7500
S  0.1115  0.8885  0.0031
S  0.1115  0.8885  0.4969
S  0.4929  0.5071  0.7500
S  0.5071  0.4929  0.2500
S  0.8885  0.1115  0.5031
S  0.8885  0.1115  0.9969

***

Record 2
Below is a relaxed K2TaPbS6 crystal, with properties calculated at the PBE level.

Summary:
- Energy above the most stable polymorph in this dataset: 374 kJ/mol of formula units
- SG: P4/mmm

a = 4.3319 Å, b = 4.3319 Å, c = 13.9233 Å
α = 90.00°, β = 90.00°, γ = 90.00°
Fractional coordinates of all 10 atoms:
K  0.0000  0.0000  0.2193
K  0.0000  0.0000  0.7807
Ta  0.5000  0.5000  0.5000
Pb  0.5000  0.5000  0.0000
S  0.0000  0.0000  0.0000
S  0.0000  0.0000  0.5000
S  0.0000  0.5000  0.3906
S  0.0000  0.5000  0.6094
S  0.5000  0.0000  0.3906
S  0.5000  0.0000  0.6094

***

Record 3
Below is a relaxed K2TaPbS6 crystal, with properties calculated at the PBE level.

Summary:
- Energy above the most stable polymorph in this dataset: 0 kJ/mol of formula units
- SG: Fm-3m

a = 7.3231 Å, b = 7.3231 Å, c = 7.3231 Å
α = 60.00°, β = 60.00°, γ = 60.00°
Fractional coordinates of all 10 atoms:
K  0.2500  0.2500  0.2500
K  0.7500  0.7500  0.7500
Ta  0.0000  0.0000  0.0000
Pb  0.5000  0.5000  0.5000
S  0.2328  0.2328  0.7672
S  0.2328  0.7672  0.2328
S  0.2328  0.7672  0.7672
S  0.7672  0.2328  0.2328
S  0.7672  0.2328  0.7672
S  0.7672  0.7672  0.2328

***

Record 4
Below is a relaxed KSmPbSe3 crystal, with properties calculated at the PBE level.

Summary:
- Calculated total energy: -4.513 eV/atom
- SG: Cmcm

a = 8.7524 Å, b = 8.7524 Å, c = 12.1096 Å
α = 90.00°, β = 90.00°, γ = 151.70°
Fractional coordinates of all 12 atoms:
K  0.1672  0.8328  0.7500
K  0.8328  0.1672  0.2500
Sm  0.5000  0.5000  0.0000
Sm  0.5000  0.5000  0.5000
Pb  0.1086  0.8914  0.2500
Pb  0.8914  0.1086  0.7500
Se  0.1172  0.8828  0.0043
Se  0.1172  0.8828  0.4957
Se  0.4950  0.5050  0.2500
Se  0.5050  0.4950  0.7500
Se  0.8828  0.1172  0.5043
Se  0.8828  0.1172  0.9957

***

Record 5
Below is a relaxed KSmPbSe4 crystal, with properties calculated at the PBE level.

Summary:
- Calculated total energy: -4.338 eV/atom
- SG: P2_1

a = 7.2020 Å, b = 7.2787 Å, c = 9.1991 Å
α = 90.00°, β = 107.89°, γ = 90.00°
Fractional coordinates of all 14 atoms:
K  0.2414  0.0000  0.4389
K  0.7586  0.5000  0.5611
Sm  0.2771  0.9869  0.9501
Sm  0.7229  0.4869  0.0499
Pb  0.2680  0.4647  0.1712
Pb  0.7320  0.9647  0.8288
Se  0.0291  0.3503  0.9052
Se  0.0408  0.4258  0.3421
Se  0.4506  0.7084  0.7799
Se  0.4883  0.2485  0.7900
Se  0.5117  0.7485  0.2100
Se  0.5494  0.2084  0.2201
Se  0.9592  0.9258  0.6579
Se  0.9709  0.8503  0.0948

***

Record 6
Below is a relaxed KTmPbSe3 crystal, with properties calculated at the PBE level.

Summary:
- Calculated total energy: -4.470 eV/atom
- SG: Cmcm

a = 9.0709 Å, b = 9.0709 Å, c = 11.9546 Å
α = 90.00°, β = 90.00°, γ = 153.63°
Fractional coordinates of all 12 atoms:
K  0.1577  0.8423  0.7500
K  0.8423  0.1577  0.2500
Tm  0.5000  0.5000  0.0000
Tm  0.5000  0.5000  0.5000
Pb  0.1141  0.8859  0.2500
Pb  0.8859  0.1141  0.7500
Se  0.1088  0.8912  0.0009
Se  0.1088  0.8912  0.4991
Se  0.4969  0.5031  0.7500
Se  0.5031  0.4969  0.2500
Se  0.8912  0.1088  0.5009
Se  0.8912  0.1088  0.9991

***

Record 7
Below is a relaxed KSmPb crystal, with properties calculated at the PBE level.

Summary:
- Energy above the most stable polymorph in this dataset: 0 kJ/mol of formula units
- SG: F-43m

a = 5.4210 Å, b = 5.4210 Å, c = 5.4210 Å
α = 60.00°, β = 60.00°, γ = 60.00°
Fractional coordinates of all 3 atoms:
K  0.0000  0.0000  0.0000
Sm  0.2500  0.2500  0.2500
Pb  0.5000  0.5000  0.5000

***

Record 8
Below is a relaxed KTbPb crystal, with properties calculated at the PBE level.

Summary:
- Calculated total energy: -2.586 eV/atom
- SG: F-43m

a = 5.3739 Å, b = 5.3739 Å, c = 5.3739 Å
α = 60.00°, β = 60.00°, γ = 60.00°
Fractional coordinates of all 3 atoms:
K  0.0000  0.0000  0.0000
Tb  0.2500  0.2500  0.2500
Pb  0.7500  0.7500  0.7500